Dy6Co2Sn PBE optimized geometry; DOS(E_F) = 0.76 states/eV/atom; raw total energy = -5.429 eV/atom; DFT formation energy = -3.04 eV/f.u.; space-group type = Immm
1.0
8.3711 -0.0173 -0.0192
-2.4473 8.0054 0.0192
-2.7901 -4.1215 6.7309
Dy Co Sn
12 4 2
Direct
0.4435 0.2363 0.2073
0.5565 0.7637 0.7927
0.0290 0.2363 0.7927
0.9710 0.7637 0.2073
0.1835 0.2844 0.4679
0.8165 0.7156 0.5321
0.1835 0.7156 0.8990
0.8165 0.2844 0.1010
0.3246 0.6380 0.3134
0.6754 0.3620 0.6866
0.3246 0.0112 0.6866
0.6754 0.9888 0.3134
0.3420 0.0000 0.3420
0.6580 0.0000 0.6580
0.1133 0.6133 0.5000
0.8867 0.3867 0.5000
0.5000 0.5000 0.0000
0.0000 0.0000 0.0000